Computed, not measured: a relaxed MgV2PtO crystal at the GGA+U level of DFT.

Output
The density of states at the Fermi level is 5.2 states/eV/f.u. The final energy comes out at -23.308 eV per cell. The total magnetization comes out at 6.94 μB per formula unit. As for the calculated density: 5317 kg/m3.

a = 5.1570 Å, b = 5.1570 Å, c = 3.9608 Å
α = 90.00°, β = 90.00°, γ = 90.00°
Space group P4/mmm (No. 123)
Unique sites:
Mg 0.0000 0.0000 0.0000 [1 per cell]
V 0.0000 0.5000 0.5000 [2 per cell]
Pt 0.5000 0.5000 0.5000 [1 per cell]
O 0.5000 0.5000 0.0000 [1 per cell]